VASP calculation (PBE+U) on crystalline Li2Mn3Co3O12 at its relaxed geometry.

## Properties
**Uncorrected energy**: -6.289 eV/atom
**Total magnetization**: 7.93 μB per formula unit
**Symmetry**: P-1, No. 2

abc: 5.693 5.957 6.999
angles: 109.09 105.62 84.89
Fractional coordinates of all 20 atoms:
O1 0.761 0.276 0.978
O2 0.068 0.062 0.365
O3 0.580 0.065 0.370
O4 0.738 0.719 0.033
O5 0.095 0.609 0.300
O6 0.932 0.938 0.635
O7 0.408 0.396 0.704
O8 0.420 0.935 0.630
O9 0.239 0.724 0.022
O10 0.592 0.604 0.296
O11 0.262 0.281 0.967
O12 0.905 0.391 0.700
Co1 0.166 0.168 0.666
Co2 0.834 0.832 0.334
Co3 0.500 0.500 0.000
Mn1 0.670 0.161 0.671
Mn2 0.330 0.839 0.329
Mn3 0.000 0.500 0.000
Li1 0.221 0.721 0.714
Li2 0.779 0.279 0.286